Record 1
4
Lattice="-1.693 -0.834 -2.190 2.485 -2.158 -1.099 -2.784 -5.339 4.186" Properties=species:S:1:pos:R:3 comment="As3Pt, relaxed, DFT PBE-GGA" rho_g_cm3=9.480 relative_energy_mev_per_atom=261 sg="Pmmm, No. 47" pbc="T T T"
As -1.779 -5.666 1.625
As -1.392 -2.669 2.093
As -0.213 -2.664 -0.729
Pt 0.000 0.000 0.000

Record 2
16
Lattice="5.939 0.000 0.000 -2.969 5.143 0.000 0.000 0.000 9.469" Properties=species:S:1:pos:R:3 comment="As3Pt, relaxed, DFT PBE-GGA" rho_g_cm3=9.642 relative_energy_mev_per_atom=383 sg="P6_3/mmc, No. 194" pbc="T T T"
As 2.969 0.000 0.000
As 2.969 0.000 4.734
As -1.485 2.572 0.000
As 1.485 2.572 0.000
As 1.485 2.572 4.734
As -1.485 2.572 4.734
As 2.969 3.557 2.367
As 0.000 1.586 7.102
As 1.374 0.793 2.367
As 4.565 0.793 2.367
As -1.596 4.350 7.102
As 1.596 4.350 7.102
Pt 0.000 0.000 0.000
Pt 0.000 0.000 4.734
Pt 0.000 3.429 2.367
Pt 2.969 1.714 7.102

Record 3
8
Lattice="5.270 0.000 0.000 0.000 5.270 0.000 0.000 0.000 5.270" Properties=species:S:1:pos:R:3 comment="As3Pt, relaxed, DFT PBE-GGA" rho_g_cm3=9.525 relative_energy_mev_per_atom=444 sg="Pm-3n, No. 223" pbc="T T T"
As 3.953 2.635 0.000
As 1.318 2.635 0.000
As 0.000 3.953 2.635
As 0.000 1.318 2.635
As 2.635 0.000 1.318
As 2.635 0.000 3.953
Pt 0.000 0.000 0.000
Pt 2.635 2.635 2.635

Record 4
4
Lattice="-2.178 0.330 -3.996 3.159 -3.253 -0.507 -2.147 -2.238 0.986" Properties=species:S:1:pos:R:3 comment="AsPt3, relaxed, DFT PBE-GGA" rho_g_cm3=16.878 sg="Cmmm, No. 65" pbc="T T T"
As 0.000 0.000 0.000
Pt 0.506 -2.746 0.239
Pt -2.163 -0.954 -1.505
Pt 0.490 -1.462 -2.251

Record 5
4
Lattice="-2.793 1.021 -1.128 -0.218 -2.603 -1.815 -3.613 -3.638 5.651" Properties=species:S:1:pos:R:3 comment="AsPt, relaxed, DFT PBE-GGA" rho_g_cm3=11.618 sg="P4/nmm, No. 129" pbc="T T T"
As -1.493 -1.140 0.421
As -5.132 -4.079 2.287
Pt -3.033 -2.692 2.831
Pt -3.591 -2.528 -0.123

Record 6
5
Lattice="-3.022 3.022 3.022 3.022 -3.022 3.022 3.022 3.022 -3.022" Properties=species:S:1:pos:R:3 comment="As4Pt, relaxed, DFT PBE-GGA" rho_g_cm3=7.439 relative_energy_mev_per_atom=551 sg="Im-3m, No. 229" pbc="T T T"
As -1.511 1.511 1.511
As 1.511 1.511 1.511
As 1.511 -1.511 1.511
As 1.511 1.511 -1.511
Pt 0.000 0.000 0.000

Record 7
9
Lattice="1.213 -7.613 -0.029 -2.843 6.277 3.456 -5.678 -0.353 -5.202" Properties=species:S:1:pos:R:3 comment="As8Pt, relaxed, DFT PBE-GGA" rho_g_cm3=5.922 sg="I4/mmm, No. 139" pbc="T T T"
As -0.329 -2.332 1.296
As -1.301 0.996 2.131
As -5.295 3.681 -1.085
As -4.938 -0.776 -2.653
As -2.775 -4.949 -3.250
As -2.371 -0.913 0.877
As -3.227 2.243 -0.661
As -1.691 -3.016 -1.981
Pt 0.000 0.000 0.000

Record 8
3
Lattice="-0.073 -2.815 1.164 2.674 1.373 -0.501 -0.143 2.338 5.648" Properties=species:S:1:pos:R:3 comment="AsPt2, relaxed, DFT PBE-GGA" rho_g_cm3=15.706 sg="P-3m1, No. 164" pbc="T T T"
As 0.000 0.000 0.000
Pt 0.745 0.183 4.479
Pt 1.713 0.713 1.833

Record 9
9
Lattice="3.836 0.000 1.004 1.918 5.989 0.502 0.402 0.000 6.296" Properties=species:S:1:pos:R:3 comment="AsPt8, relaxed, DFT PBE-GGA" rho_g_cm3=19.097 sg="I4/mmm, No. 139" pbc="T T T"
As 0.000 0.000 0.000
Pt 2.822 0.000 4.879
Pt 1.416 0.000 2.421
Pt 0.905 1.988 4.372
Pt 1.918 1.984 0.502
Pt 3.333 1.988 2.927
Pt 3.836 4.005 1.004
Pt 1.415 4.001 2.425
Pt 2.823 4.001 4.875

Record 10
4
Lattice="-5.292 1.090 -0.405 1.997 -3.737 -3.376 2.178 0.239 4.955" Properties=species:S:1:pos:R:3 comment="As3Pt, relaxed, DFT PBE-GGA" rho_g_cm3=9.756 relative_energy_mev_per_atom=380 sg="R-3m, No. 166" pbc="T T T"
As 0.000 0.000 0.000
As 2.088 -1.749 0.789
As -1.557 0.664 2.275
Pt -1.647 -1.324 -1.891

Record 11
4
Lattice="-0.223 -3.364 -0.732 3.516 -0.283 0.229 -0.483 -1.244 5.863" Properties=species:S:1:pos:R:3 comment="AsPt, relaxed, DFT PBE-GGA" rho_g_cm3=12.231 sg="Pmmn, No. 59" pbc="T T T"
As -0.042 -0.108 0.507
As 1.326 -2.648 3.639
Pt -0.247 -0.637 3.001
Pt 1.532 -2.119 1.145

Record 12
4
Lattice="-0.468 -4.480 -0.089 2.091 -2.544 3.073 -2.387 -2.080 3.205" Properties=species:S:1:pos:R:3 comment="AsPt3, relaxed, DFT PBE-GGA" rho_g_cm3=16.958 sg="Fm-3m, No. 225" pbc="T T T"
As 0.000 0.000 0.000
Pt -0.191 -2.276 1.547
Pt -0.382 -4.552 3.095
Pt -0.573 -6.828 4.642

| no. | E_form (eV per atom) |
| --- | --- |
| 1 | 0.178 |
| 2 | 0.300 |
| 3 | 0.361 |
| 4 | -0.034 |
| 5 | -0.119 |
| 6 | 0.350 |
| 7 | 0.219 |
| 8 | -0.022 |
| 9 | -0.040 |
| 10 | 0.297 |
| 11 | -0.167 |
| 12 | 0.007 |